(1)
# SrInNi3

Crystalline SrInNi3 at its relaxed geometry (PBE, Alexandria via LeMat-Bulk).

```
data_SrInNi3
_chemical_formula_sum 'Sr1 In1 Ni3'
_space_group_name_H-M_alt 'P m -3 m'
_space_group_IT_number 221
_space_group_name_Hall '-P 4 2 3'
_cell_length_a 4.792
_cell_length_b 4.792
_cell_length_c 4.792
_cell_angle_alpha 90.00
_cell_angle_beta 90.00
_cell_angle_gamma 90.00
loop_
_atom_site_label
_atom_site_type_symbol
_atom_site_fract_x
_atom_site_fract_y
_atom_site_fract_z
Sr1 Sr 0.000 0.000 0.000
In1 In 0.500 0.500 0.500
Ni1 Ni 0.000 0.000 0.500
```

(2)
# SrInNi2

Crystalline SrInNi2 at its relaxed geometry (PBE, Alexandria via LeMat-Bulk).

```
data_SrInNi2
_chemical_formula_sum 'Sr4 In4 Ni8'
_space_group_name_H-M_alt 'F -4 3 m'
_space_group_IT_number 216
_space_group_name_Hall 'F -4 2 3'
_cell_length_a 6.838
_cell_length_b 6.838
_cell_length_c 6.838
_cell_angle_alpha 90.00
_cell_angle_beta 90.00
_cell_angle_gamma 90.00
loop_
_atom_site_label
_atom_site_type_symbol
_atom_site_fract_x
_atom_site_fract_y
_atom_site_fract_z
Sr1 Sr 0.000 0.000 0.000
In1 In 0.250 0.250 0.750
Ni1 Ni 0.000 0.000 0.500
Ni2 Ni 0.250 0.250 0.250
```

no.,energy of formation from the pure elements (eV/f.u.)
1,7.24
2,1.34